# Cs2KBaF, optimized geometry, DFT PBE
data_Cs2KBaF
_chemical_formula_sum 'Cs2 K1 Ba1 F1'
_symmetry_space_group_name_H-M 'P 4/m m m'
_symmetry_Int_Tables_number 123
_symmetry_space_group_name_Hall '-P 4 2'
_cell_length_a 8.2009
_cell_length_b 8.2009
_cell_length_c 5.0893
_cell_angle_alpha 90.00
_cell_angle_beta 90.00
_cell_angle_gamma 90.00
loop_
_atom_site_label
_atom_site_fract_x
_atom_site_fract_y
_atom_site_fract_z
_atom_site_occupancy
Cs1 0.0000 0.5000 0.0000 1
K1 0.0000 0.0000 0.5000 1
Ba1 0.5000 0.5000 0.5000 1
F1 0.5000 0.5000 0.0000 1
# Raw formation energy = -1.007 eV per atom
# Total moment = 0.000 μB per cell

# CsKBa2F, optimized geometry, DFT PBE
data_CsKBa2F
_chemical_formula_sum 'Cs1 K1 Ba2 F1'
_symmetry_space_group_name_H-M 'P 4/m m m'
_symmetry_Int_Tables_number 123
_symmetry_space_group_name_Hall '-P 4 2'
_cell_length_a 5.7971
_cell_length_b 5.7971
_cell_length_c 7.8889
_cell_angle_alpha 90.00
_cell_angle_beta 90.00
_cell_angle_gamma 90.00
loop_
_atom_site_label
_atom_site_fract_x
_atom_site_fract_y
_atom_site_fract_z
_atom_site_occupancy
Cs1 0.0000 0.0000 0.0000 1
K1 0.5000 0.5000 0.0000 1
Ba1 0.0000 0.5000 0.5000 1
F1 0.0000 0.0000 0.5000 1
# Raw formation energy = -0.920 eV per atom
# Total moment = 0.000 μB per cell

# Cs2BaLaF6, optimized geometry, DFT PBE
data_Cs2BaLaF6
_chemical_formula_sum 'Cs6 Ba3 La3 F18'
_symmetry_space_group_name_H-M 'R -3 m'
_symmetry_Int_Tables_number 166
_symmetry_space_group_name_Hall '-R 3 2"'
_cell_length_a 7.1543
_cell_length_b 7.1543
_cell_length_c 17.5067
_cell_angle_alpha 90.00
_cell_angle_beta 90.00
_cell_angle_gamma 120.00
loop_
_atom_site_label
_atom_site_fract_x
_atom_site_fract_y
_atom_site_fract_z
_atom_site_occupancy
Cs1 0.0000 0.0000 0.2500 1
Ba1 0.0000 0.0000 0.0000 1
La1 0.0000 0.0000 0.5000 1
F1 0.0186 0.5093 0.2454 1
# Raw formation energy = -3.249 eV per atom
# Total moment = 0.550 μB per cell

# Cs2BaLiF, optimized geometry, DFT PBE
data_Cs2BaLiF
_chemical_formula_sum 'Cs2 Ba1 Li1 F1'
_symmetry_space_group_name_H-M 'P 4/m m m'
_symmetry_Int_Tables_number 123
_symmetry_space_group_name_Hall '-P 4 2'
_cell_length_a 7.0160
_cell_length_b 7.0160
_cell_length_c 6.8583
_cell_angle_alpha 90.00
_cell_angle_beta 90.00
_cell_angle_gamma 90.00
loop_
_atom_site_label
_atom_site_fract_x
_atom_site_fract_y
_atom_site_fract_z
_atom_site_occupancy
Cs1 0.0000 0.5000 0.0000 1
Ba1 0.0000 0.0000 0.5000 1
Li1 0.0000 0.0000 0.0000 1
F1 0.5000 0.5000 0.5000 1
# Raw formation energy = -0.281 eV per atom
# Total moment = 0.000 μB per cell

# CsBaMg2F7, optimized geometry, DFT PBE
data_CsBaMg2F7
_chemical_formula_sum 'Cs1 Ba1 Mg2 F7'
_symmetry_space_group_name_H-M 'P 4/m m m'
_symmetry_Int_Tables_number 123
_symmetry_space_group_name_Hall '-P 4 2'
_cell_length_a 3.9810
_cell_length_b 3.9810
_cell_length_c 11.5745
_cell_angle_alpha 90.00
_cell_angle_beta 90.00
_cell_angle_gamma 90.00
loop_
_atom_site_label
_atom_site_fract_x
_atom_site_fract_y
_atom_site_fract_z
_atom_site_occupancy
Cs1 0.0000 0.0000 0.0000 1
Ba1 0.0000 0.0000 0.5000 1
Mg1 0.5000 0.5000 0.2926 1
F1 0.0000 0.5000 0.3310 1
F2 0.5000 0.5000 0.1307 1
F3 0.5000 0.5000 0.5000 1
# Raw formation energy = -3.472 eV per atom
# Total moment = 0.154 μB per cell